# 1
# PBE Pm2TmCl, optimized geometry
data_Pm2TmCl
_symmetry_space_group_name_H-M 'R -3 m'
_symmetry_Int_Tables_number 166
_symmetry_space_group_name_Hall '-R 3 2"'
_cell_length_a 3.6369
_cell_length_b 3.6369
_cell_length_c 30.6836
_cell_angle_alpha 90.00
_cell_angle_beta 90.00
_cell_angle_gamma 120.00
loop_
_atom_site_label
_atom_site_fract_x
_atom_site_fract_y
_atom_site_fract_z
_atom_site_occupancy
Pm1 0.0000 0.0000 0.2403 1
Tm1 0.0000 0.0000 0.0000 1
Cl1 0.0000 0.0000 0.5000 1
# - Electronic total energy: -4.615 eV per atom
# - N(E_F): 12.83 states/eV/cell

# 2
# PBE PmUCl2, optimized geometry
data_PmUCl2
_symmetry_space_group_name_H-M 'R -3 m'
_symmetry_Int_Tables_number 166
_symmetry_space_group_name_Hall '-R 3 2"'
_cell_length_a 3.4300
_cell_length_b 3.4300
_cell_length_c 29.5320
_cell_angle_alpha 90.00
_cell_angle_beta 90.00
_cell_angle_gamma 120.00
loop_
_atom_site_label
_atom_site_fract_x
_atom_site_fract_y
_atom_site_fract_z
_atom_site_occupancy
Pm1 0.0000 0.0000 0.0000 1
U1 0.0000 0.0000 0.5000 1
Cl1 0.0000 0.0000 0.4039 1
# - Electronic total energy: -5.902 eV per atom
# - N(E_F): 15.30 states/eV/cell

# 3
# PBE PmVCl, optimized geometry
data_PmVCl
_symmetry_space_group_name_H-M 'I 4/m m m'
_symmetry_Int_Tables_number 139
_symmetry_space_group_name_Hall '-I 4 2'
_cell_length_a 3.440
_cell_length_b 3.440
_cell_length_c 26.068
_cell_angle_alpha 90.00
_cell_angle_beta 90.00
_cell_angle_gamma 90.00
loop_
_atom_site_label
_atom_site_fract_x
_atom_site_fract_y
_atom_site_fract_z
_atom_site_occupancy
Pm1 0.000 0.000 0.121 1
V1 0.000 0.000 0.464 1
Cl1 0.000 0.000 0.317 1
# - Electronic total energy: -5.637 eV per atom
# - N(E_F): 10.17 states/eV/cell

# 4
# PBE PmVCl2, optimized geometry
data_PmVCl2
_symmetry_space_group_name_H-M 'R -3 m'
_symmetry_Int_Tables_number 166
_symmetry_space_group_name_Hall '-R 3 2"'
_cell_length_a 3.2649
_cell_length_b 3.2649
_cell_length_c 26.9576
_cell_angle_alpha 90.00
_cell_angle_beta 90.00
_cell_angle_gamma 120.00
loop_
_atom_site_label
_atom_site_fract_x
_atom_site_fract_y
_atom_site_fract_z
_atom_site_occupancy
Pm1 0.0000 0.0000 0.0000 1
V1 0.0000 0.0000 0.5000 1
Cl1 0.0000 0.0000 0.1080 1
# - Electronic total energy: -4.890 eV per atom
# - N(E_F): 9.45 states/eV/cell

# 5
# PBE Pm2YCl8, optimized geometry
data_Pm2YCl8
_symmetry_space_group_name_H-M 'C 1 2/m 1'
_symmetry_Int_Tables_number 12
_cell_length_a 8.270
_cell_length_b 12.268
_cell_length_c 5.735
_cell_angle_alpha 90.00
_cell_angle_beta 105.45
_cell_angle_gamma 90.00
loop_
_symmetry_equiv_pos_as_xyz
'x,y,z'
'-x,-y,-z'
'-x,y,-z'
'x,-y,z'
'x+1/2,y+1/2,z'
'-x+1/2,-y+1/2,-z'
'-x+1/2,y+1/2,-z'
'x+1/2,-y+1/2,z'
loop_
_atom_site_label
_atom_site_fract_x
_atom_site_fract_y
_atom_site_fract_z
_atom_site_occupancy
Pm1 0.000 0.188 0.000 1
Y1 0.000 0.500 0.500 1
Cl1 0.000 0.280 0.500 1
Cl2 0.145 0.000 0.308 1
Cl3 0.204 0.369 0.113 1
# - Electronic total energy: -4.812 eV per atom
# - N(E_F): 9.38 states/eV/cell

# 6
# PBE Pm2YCl, optimized geometry
data_Pm2YCl
_symmetry_space_group_name_H-M 'R -3 m'
_symmetry_Int_Tables_number 166
_symmetry_space_group_name_Hall '-R 3 2"'
_cell_length_a 3.6661
_cell_length_b 3.6661
_cell_length_c 30.8017
_cell_angle_alpha 90.00
_cell_angle_beta 90.00
_cell_angle_gamma 120.00
loop_
_atom_site_label
_atom_site_fract_x
_atom_site_fract_y
_atom_site_fract_z
_atom_site_occupancy
Pm1 0.0000 0.0000 0.2393 1
Y1 0.0000 0.0000 0.0000 1
Cl1 0.0000 0.0000 0.5000 1
# - Electronic total energy: -5.120 eV per atom
# - N(E_F): 12.72 states/eV/cell